# LaAlIr2Se | Alexandria via LeMat-Bulk | PBE | optimized geometry
data_LaAlIr2Se
_chemical_formula_sum 'La1 Al1 Ir2 Se1'
_cell_length_a 4.682
_cell_length_b 4.682
_cell_length_c 5.488
_cell_angle_alpha 90.00
_cell_angle_beta 90.00
_cell_angle_gamma 90.00
_space_group_name_H-M_alt 'P 4/m m m'
_space_group_IT_number 123
_space_group_name_Hall '-P 4 2'
loop_
_atom_site_label
_atom_site_type_symbol
_atom_site_fract_x
_atom_site_fract_y
_atom_site_fract_z
La1 La 0.000 0.000 0.000
Al1 Al 0.500 0.500 0.000
Ir1 Ir 0.000 0.500 0.500
Se1 Se 0.000 0.000 0.500
# E	-5.51	eV/atom
# raw formation energy	469.7	meV per atom